(1)
Compound: Cs4PtSe
Source: OQMD
Functional: PBE-GGA
Structure: relaxed

Unit cell a=5.869 b=5.869 c=8.238 alpha=90.00 beta=90.00 gamma=90.00
Sites, in units of the cell vectors:
Cs 0.500 0.000 0.755
Cs 0.000 0.500 0.755
Cs 0.500 0.000 0.245
Cs 0.000 0.500 0.245
Se 0.500 0.500 0.500
Pt 0.000 0.000 0.000

final energy	-2.723	eV per atom

(2)
Compound: AgSbPb
Source: OQMD
Functional: PBE-GGA
Structure: relaxed

Unit cell a=4.797 b=4.797 c=8.219 alpha=90.00 beta=90.00 gamma=120.03
Sites, in units of the cell vectors:
Pb 0.500 0.500 0.000
Pb 0.500 0.500 0.500
Ag 0.833 0.167 0.750
Ag 0.167 0.833 0.250
Sb 0.833 0.167 0.250
Sb 0.167 0.833 0.750

final energy	-3.523	eV per atom

(3)
Compound: Cu2Ag3
Source: OQMD
Functional: PBE-GGA
Structure: relaxed

Unit cell a=4.933 b=4.933 c=11.710 alpha=98.78 beta=98.78 gamma=33.80
Sites, in units of the cell vectors:
Cu 0.451 0.451 0.155
Cu 0.661 0.661 0.547
Cu 0.339 0.339 0.453
Cu 0.549 0.549 0.845
Ag 0.043 0.043 0.361
Ag 0.753 0.753 0.254
Ag 0.144 0.144 0.048
Ag 0.957 0.957 0.639
Ag 0.856 0.856 0.952
Ag 0.247 0.247 0.746

final energy	-3.092	eV per atom
energy relative to the elements	89	meV per atom

(4)
Compound: LiLaTlCd
Source: OQMD
Functional: PBE-GGA
Structure: relaxed

Unit cell a=5.214 b=5.214 c=5.214 alpha=60.00 beta=60.00 gamma=60.00
Sites, in units of the cell vectors:
Tl 0.250 0.250 0.250
Li 0.750 0.750 0.750
Cd 0.000 0.000 0.000
La 0.500 0.500 0.500

final energy	-2.790	eV per atom

(5)
Compound: Sc2Fe2SiGeC
Source: OQMD
Functional: PBE-GGA
Structure: relaxed

Unit cell a=5.463 b=5.463 c=6.437 alpha=125.05 beta=125.05 gamma=40.68
Sites, in units of the cell vectors:
Fe 0.206 0.206 0.104
Fe 0.801 0.801 0.911
Sc 0.442 0.442 0.713
Sc 0.556 0.556 0.282
C 0.002 0.002 0.002
Ge 0.151 0.151 0.687
Si 0.841 0.841 0.301

final energy	-7.553	eV per atom